Compound: Mn2SnF
Source: Alexandria via LeMat-Bulk
Functional: PBE with a Hubbard U
Structure: relaxed

Cell and atoms, written as CIF:
```
data_Mn2SnF
_chemical_formula_sum 'Mn8 Sn4 F4'
_cell_length_a 6.719
_cell_length_b 6.719
_cell_length_c 6.719
_cell_angle_alpha 90.00
_cell_angle_beta 90.00
_cell_angle_gamma 90.00
_symmetry_space_group_name_H-M 'F m -3 m'
_symmetry_Int_Tables_number 225
_symmetry_space_group_name_Hall '-F 4 2 3'
loop_
_atom_site_label
_atom_site_type_symbol
_atom_site_fract_x
_atom_site_fract_y
_atom_site_fract_z
Mn1 Mn 0.250 0.250 0.250
Sn1 Sn 0.000 0.000 0.000
F1 F 0.000 0.000 0.500
```

## Properties
**E**: -88.7 eV per cell
**Spin magnetization**: 9.0 μB/f.u.